# 1
SrPtS2 GGA-PBEsol relaxed; DOS(E_F) = 4.01 states/eV/f.u.; total DFT energy (no corrections) = -4.81 eV/atom; space-group type = R-3m; total magnetization = 0.1 μB per formula unit
1.0
-0.430 1.378 3.426
-3.077 -0.768 1.940
2.410 -6.348 4.872
Sr S Pt
1 2 1
Cartesian
0.000 0.000 0.000
-2.225 -1.736 6.470
1.129 -4.002 3.768
-0.548 -2.869 5.119



# 2
TaPtS2 GGA-PBEsol relaxed; DOS(E_F) = 1.17 states/eV/f.u.; total DFT energy (no corrections) = -7.78 eV/atom; space-group type = R-3m; total magnetization = 0.0 μB per formula unit
1.0
3.150 0.000 0.000
1.575 2.728 0.000
1.575 0.909 7.777
S Pt Ta
2 1 1
Cartesian
4.725 2.728 2.262
1.575 0.909 5.514
0.000 0.000 0.000
3.150 1.819 3.888



# 3
Tc2Pt2S GGA-PBEsol relaxed; DOS(E_F) = 5.53 states/eV/f.u.; total DFT energy (no corrections) = -7.75 eV/atom; space-group type = I4/mmm; total magnetization = 0.0 μB per formula unit
1.0
-2.888 0.363 2.089
-0.991 -3.352 -0.787
5.195 -0.610 4.216
S Tc Pt
1 2 2
Cartesian
0.000 0.000 0.000
2.636 -1.704 3.941
-1.320 -1.895 1.577
1.132 -2.728 2.040
0.183 -0.871 3.478



# 4
TlTcPt2S GGA-PBEsol relaxed; DOS(E_F) = 2.48 states/eV/f.u.; total DFT energy (no corrections) = -4.54 eV/atom; space-group type = P4/mmm; total magnetization = 4.4 μB per formula unit
1.0
-4.761 -0.634 -0.732
0.982 -2.701 -4.054
0.122 -4.120 2.775
S Tl Tc Pt
1 1 1 2
Cartesian
-2.381 -0.317 -0.366
0.000 0.000 0.000
-1.829 -3.728 -1.005
0.061 -2.060 1.388
0.491 -1.351 -2.027



# 5
Te2Pt2S GGA-PBEsol relaxed; DOS(E_F) = 4.39 states/eV/f.u.; total DFT energy (no corrections) = -4.97 eV/atom; space-group type = I4/mmm; total magnetization = 0.0 μB per formula unit
1.0
5.305 0.000 0.000
-2.653 4.570 0.023
0.000 3.058 4.335
S Te Pt
1 2 2
Cartesian
0.000 0.000 0.000
2.653 4.579 3.263
0.000 3.050 1.095
2.653 2.581 1.426
0.000 5.047 2.932



# 6
YTePtS2 GGA-PBEsol relaxed; DOS(E_F) = 3.46 states/eV/f.u.; total DFT energy (no corrections) = -5.66 eV/atom; space-group type = P4/mmm; total magnetization = 0.0 μB per formula unit
1.0
4.681 0.000 0.000
0.000 4.681 0.000
0.000 0.000 5.228
Y S Te Pt
1 2 1 1
Cartesian
2.340 2.340 2.614
0.000 2.340 0.000
2.340 0.000 0.000
0.000 0.000 2.614
0.000 0.000 0.000



# 7
TlPtS2 GGA-PBEsol relaxed; DOS(E_F) = 2.28 states/eV/f.u.; total DFT energy (no corrections) = -4.79 eV/atom; space-group type = I-42d; total magnetization = 0.0 μB per formula unit
1.0
5.958 -0.128 0.000
-2.441 5.436 0.000
-1.759 -2.654 5.037
Tl S Pt
2 4 2
Cartesian
0.000 0.000 0.000
-1.220 2.718 2.519
1.641 1.777 2.132
-0.762 -0.450 2.905
2.217 -0.514 4.651
0.421 4.496 0.386
1.759 2.654 0.000
2.979 -0.064 2.519



# 8
PtWS2 GGA-PBEsol relaxed; DOS(E_F) = 3.73 states/eV/f.u.; total DFT energy (no corrections) = -7.15 eV/atom; space-group type = Fm-3m; total magnetization = 0.0 μB per formula unit
1.0
-0.016 -2.088 3.752
2.795 -3.183 0.697
3.229 0.549 2.776
S W Pt
2 1 1
Cartesian
1.502 -1.181 1.806
4.507 -3.542 5.419
0.000 0.000 0.000
3.005 -2.361 3.612



# 9
ZnPt3S GGA-PBEsol relaxed; DOS(E_F) = 9.09 states/eV/f.u.; total DFT energy (no corrections) = -4.14 eV/atom; space-group type = Pm-3m; total magnetization = 0.0 μB per formula unit
1.0
-1.080 1.287 4.228
-1.097 -4.294 1.027
4.281 -0.775 1.329
Zn S Pt
1 1 3
Cartesian
0.000 0.000 0.000
1.053 -1.892 3.292
-0.548 -2.147 0.513
2.141 -0.388 0.665
-0.540 0.643 2.114



# 10
ZnPtS3 GGA-PBEsol relaxed; DOS(E_F) = 6.34 states/eV/f.u.; total DFT energy (no corrections) = -3.35 eV/atom; space-group type = Pm-3m; total magnetization = 0.0 μB per formula unit
1.0
4.483 0.000 0.000
0.000 4.483 0.000
0.000 0.000 4.483
Zn S Pt
1 3 1
Cartesian
0.000 0.000 0.000
0.000 2.242 0.000
0.000 0.000 2.242
2.242 0.000 0.000
2.242 2.242 2.242



# 11
SbPt4 GGA-PBEsol relaxed; DOS(E_F) = 4.94 states/eV/f.u.; offset from the most stable computed form = 0 meV/atom; total DFT energy (no corrections) = -6.57 eV/atom; space-group type = I4/m; total magnetization = 0.0 μB per formula unit
1.0
-2.141 2.758 2.366
0.641 -0.391 4.796
2.285 4.173 0.962
Sb Pt
1 4
Cartesian
0.000 0.000 0.000
0.173 4.042 2.963
0.474 5.330 5.493
0.612 2.498 5.160
0.311 1.210 2.630



# 12
SbPt5 GGA-PBEsol relaxed; DOS(E_F) = 5.80 states/eV/f.u.; total DFT energy (no corrections) = -6.67 eV/atom; space-group type = Cmmm; total magnetization = 0.0 μB per formula unit
1.0
3.972 0.000 0.000
0.000 4.043 0.000
-1.986 0.000 5.919
Sb Pt
1 5
Cartesian
0.000 2.021 0.000
1.986 0.000 3.922
0.000 0.000 1.997
1.986 0.000 0.000
0.000 2.021 3.972
1.986 2.021 1.947



# 13
SbPt4 GGA-PBEsol relaxed; DOS(E_F) = 3.65 states/eV/f.u.; offset from the most stable computed form = 519 meV/atom; total DFT energy (no corrections) = -6.05 eV/atom; space-group type = Im-3m; total magnetization = 0.0 μB per formula unit
1.0
-1.182 -4.173 -2.562
4.735 -0.348 1.682
-3.136 0.516 3.907
Pt Sb
4 1
Cartesian
-1.568 0.258 1.954
2.367 -0.174 0.841
-0.591 -2.086 -1.281
0.208 -2.002 1.514
0.000 0.000 0.000



# 14
SbPt3 GGA-PBEsol relaxed; DOS(E_F) = 2.77 states/eV/f.u.; total DFT energy (no corrections) = -6.52 eV/atom; space-group type = Cmmm; total magnetization = 0.0 μB per formula unit
1.0
-2.613 1.094 2.095
1.591 -2.476 3.279
2.049 3.864 0.538
Sb Pt
1 3
Cartesian
0.000 0.000 0.000
-0.282 2.479 1.316
-0.511 -0.691 2.687
1.820 0.694 1.909



# 15
SbPt3 GGA-PBEsol relaxed; DOS(E_F) = 2.98 states/eV/f.u.; total DFT energy (no corrections) = -6.49 eV/atom; space-group type = Imm2; total magnetization = 0.0 μB per formula unit
1.0
3.503 0.000 0.000
0.000 4.343 0.000
-1.751 -2.171 4.487
Sb Pt
1 3
Cartesian
0.000 2.770 0.000
1.751 2.158 2.424
0.000 -0.013 2.062
1.751 0.876 0.000



# 16
SbPt GGA-PBEsol relaxed; DOS(E_F) = 0.90 states/eV/f.u.; total DFT energy (no corrections) = -6.18 eV/atom; space-group type = P6_3/mmc; total magnetization = 0.0 μB per formula unit
1.0
-3.561 1.072 -1.873
-0.070 -2.483 3.342
-0.388 4.384 3.249
Sb Pt
2 2
Cartesian
-2.689 3.175 2.302
-1.331 -0.202 2.416
0.000 0.000 0.000
-0.194 2.192 1.624



# 17
Sb2Pt GGA-PBEsol relaxed; DOS(E_F) = 0.30 states/eV/f.u.; total DFT energy (no corrections) = -5.87 eV/atom; space-group type = Pa-3; total magnetization = 0.0 μB per formula unit
1.0
6.457 0.000 0.000
0.000 6.457 0.000
0.000 0.000 6.457
Sb Pt
8 4
Cartesian
2.416 2.416 2.416
0.812 4.041 5.645
4.041 5.645 0.812
5.645 0.812 4.041
4.041 4.041 4.041
5.645 2.416 0.812
2.416 0.812 5.645
0.812 5.645 2.416
0.000 0.000 0.000
3.229 0.000 3.229
0.000 3.229 3.229
3.229 3.229 0.000



# 18
SbPt GGA-PBEsol relaxed; DOS(E_F) = 1.46 states/eV/f.u.; total DFT energy (no corrections) = -5.82 eV/atom; space-group type = F-43m; total magnetization = 0.0 μB per formula unit
1.0
-3.013 -2.737 -0.976
0.341 -3.999 1.187
-2.502 -1.514 2.995
Sb Pt
1 1
Cartesian
-1.294 -2.063 0.801
0.000 0.000 0.000



# 19
SbPt GGA-PBEsol relaxed; DOS(E_F) = 0.89 states/eV/f.u.; total DFT energy (no corrections) = -6.07 eV/atom; space-group type = Cmcm; total magnetization = 0.0 μB per formula unit
1.0
-3.571 2.048 2.336
0.101 -4.341 -1.884
1.794 -1.853 4.366
Sb Pt
2 2
Cartesian
0.661 -4.364 2.293
-2.337 0.218 2.525
-1.874 0.046 5.206
0.198 -4.192 -0.388



# 20
SbPt GGA-PBEsol relaxed; DOS(E_F) = 0.94 states/eV/f.u.; total DFT energy (no corrections) = -5.96 eV/atom; space-group type = Cm; total magnetization = 0.0 μB per formula unit
1.0
-3.552 0.325 -1.562
-0.230 -1.701 5.025
0.294 6.565 0.695
Pt Sb
3 3
Cartesian
-2.535 1.413 1.205
-0.877 3.223 2.666
-1.600 0.771 3.798
-0.122 0.688 0.420
-3.534 2.652 3.735
-2.515 5.213 1.949



# 21
SbPt2 GGA-PBEsol relaxed; DOS(E_F) = 1.12 states/eV/f.u.; total DFT energy (no corrections) = -6.35 eV/atom; space-group type = Pnnm; total magnetization = 0.0 μB per formula unit
1.0
-2.909 -0.996 1.739
0.437 -3.490 -1.267
4.428 -1.767 6.396
Pt Sb
4 2
Cartesian
3.013 -1.491 4.187
1.852 -3.766 0.942
2.468 -4.009 5.422
-0.513 -2.243 1.446
0.000 0.000 0.000
0.978 -3.126 3.434



# 22
SbPt2 GGA-PBEsol relaxed; DOS(E_F) = 1.55 states/eV/f.u.; total DFT energy (no corrections) = -6.38 eV/atom; space-group type = C2/m; total magnetization = 0.0 μB per formula unit
1.0
-3.105 0.686 1.705
-4.209 -1.076 -3.415
-2.058 -5.286 2.196
Sb Pt
2 4
Cartesian
-7.015 -1.903 -0.557
-2.357 -3.773 1.043
-5.233 -3.967 -0.300
-5.038 -0.375 -1.389
-4.138 -1.709 0.786
-4.334 -5.301 1.875



# 23
SbPt GGA-PBEsol relaxed; DOS(E_F) = 0.94 states/eV/f.u.; total DFT energy (no corrections) = -6.04 eV/atom; space-group type = R-3m; total magnetization = 0.0 μB per formula unit
1.0
3.916 0.000 0.000
1.958 3.392 0.000
1.958 1.131 6.557
Pt Sb
2 2
Cartesian
3.916 2.261 5.831
3.916 2.261 0.727
1.958 1.131 4.535
5.874 3.392 2.023



# 24
SbPt2 GGA-PBEsol relaxed; DOS(E_F) = 0.99 states/eV/f.u.; total DFT energy (no corrections) = -6.34 eV/atom; space-group type = P-3m1; total magnetization = 0.0 μB per formula unit
1.0
3.938 0.000 0.000
-1.969 3.410 0.000
0.000 0.000 4.171
Sb Pt
1 2
Cartesian
0.000 0.000 0.000
0.000 2.273 1.376
1.969 1.137 2.795



# 25
SbPt2 GGA-PBEsol relaxed; DOS(E_F) = 2.04 states/eV/f.u.; total DFT energy (no corrections) = -6.28 eV/atom; space-group type = Fm-3m; total magnetization = 0.0 μB per formula unit
1.0
-0.830 -4.255 -0.032
-0.187 -2.144 -3.764
3.129 -2.811 -1.051
Pt Sb
2 1
Cartesian
0.528 -2.303 -1.212
1.584 -6.908 -3.635
0.000 0.000 0.000



# 26
SbPt2 GGA-PBEsol relaxed; DOS(E_F) = 0.91 states/eV/f.u.; total DFT energy (no corrections) = -6.36 eV/atom; space-group type = P4/mmm; total magnetization = 0.0 μB per formula unit
1.0
3.860 0.000 0.000
0.000 3.866 0.000
0.000 0.000 3.866
Sb Pt
1 2
Cartesian
0.000 0.000 0.000
1.930 0.000 1.933
1.930 1.933 0.000



# 27
SbPt2 GGA-PBEsol relaxed; DOS(E_F) = 1.15 states/eV/f.u.; total DFT energy (no corrections) = -6.33 eV/atom; space-group type = I4/mmm; total magnetization = 0.0 μB per formula unit
1.0
-1.176 -1.331 3.124
3.395 -0.384 1.114
-1.198 4.568 -0.571
Pt Sb
2 1
Cartesian
1.052 1.577 3.134
-0.030 1.276 0.532
1.110 -0.857 2.119



# 28
SbPt3 GGA-PBEsol relaxed; DOS(E_F) = 0.48 states/eV/f.u.; total DFT energy (no corrections) = -6.56 eV/atom; space-group type = I4/mmm; total magnetization = 0.0 μB per formula unit
1.0
-1.192 -2.747 2.557
2.854 -2.405 -1.253
4.425 5.756 5.216
Sb Pt
2 6
Cartesian
1.413 0.855 1.577
4.674 -0.250 4.942
1.427 -1.202 -0.627
-0.596 -1.373 1.278
4.055 0.388 2.307
2.032 0.217 4.212
4.051 2.451 4.522
2.036 -1.847 1.997



# 29
Sb2Pt3 GGA-PBEsol relaxed; DOS(E_F) = 1.43 states/eV/f.u.; total DFT energy (no corrections) = -6.37 eV/atom; space-group type = Ibam; total magnetization = 0.0 μB per formula unit
1.0
5.317 0.000 0.000
0.000 6.462 0.000
-2.658 -3.231 5.491
Pt Sb
6 4
Cartesian
1.329 0.000 0.000
3.988 0.000 0.000
0.000 2.395 1.181
2.658 0.836 4.310
2.658 4.067 1.181
0.000 -0.836 4.310
0.000 1.693 3.769
2.658 1.538 1.722
2.658 -1.693 3.769
0.000 4.924 1.722



| no. | calculated volume (Å³/f.u.) |
| --- | --- |
| 1 | 96.7 |
| 2 | 66.8 |
| 3 | 79.9 |
| 4 | 120.0 |
| 5 | 104.7 |
| 6 | 114.5 |
| 7 | 80.8 |
| 8 | 56.0 |
| 9 | 94.2 |
| 10 | 90.1 |
| 11 | 80.6 |
| 12 | 95.0 |
| 13 | 98.4 |
| 14 | 66.5 |
| 15 | 68.2 |
| 16 | 41.1 |
| 17 | 67.3 |
| 18 | 51.9 |
| 19 | 45.0 |
| 20 | 41.2 |
| 21 | 52.7 |
| 22 | 54.4 |
| 23 | 43.5 |
| 24 | 56.0 |
| 25 | 57.6 |
| 26 | 57.7 |
| 27 | 51.9 |
| 28 | 65.8 |
| 29 | 94.3 |